1.
This record from Alexandria via LeMat-Bulk describes an optimized crystal structure of Pr12Er2In. The functional is PBE.

Summary:
Calculated formation energy in eV per atom: 0.233
Fermi-level density of states in states/eV per atom: 1.208
Crystal system: tetragonal
Calculated volume in Å³ per cell: 1104.4

```
data_Pr12Er2In
_symmetry_space_group_name_H-M 'P 4/n b m'
_symmetry_Int_Tables_number 125
_cell_length_a 6.766
_cell_length_b 6.766
_cell_length_c 24.126
_cell_angle_alpha 90.00
_cell_angle_beta 90.00
_cell_angle_gamma 90.00
loop_
_symmetry_equiv_pos_as_xyz
'x,y,z'
'-x,-y,-z'
'-y+1/2,x,z'
'y+1/2,-x,-z'
'-x+1/2,-y+1/2,z'
'x+1/2,y+1/2,-z'
'y,-x+1/2,z'
'-y,x+1/2,-z'
'x,-y+1/2,-z'
'-x,y+1/2,z'
'-y+1/2,-x+1/2,-z'
'y+1/2,x+1/2,z'
'-x+1/2,y,-z'
'x+1/2,-y,z'
'y,x,-z'
'-y,-x,z'
loop_
_atom_site_label
_atom_site_type_symbol
_atom_site_fract_x
_atom_site_fract_y
_atom_site_fract_z
_atom_site_occupancy
Pr1 Pr 0.004 0.504 0.091 1
Pr2 Pr 0.083 0.583 0.566 1
Pr3 Pr 0.250 0.250 0.201 1
Pr4 Pr 0.250 0.250 0.328 1
Er1 Er 0.250 0.750 0.254 1
In1 In 0.250 0.750 0.000 1
```


2.
This record from Alexandria via LeMat-Bulk describes an optimized crystal structure of PrEr5In2. The functional is PBE.

Summary:
Calculated formation energy in eV per atom: -0.131
Fermi-level density of states in states/eV per atom: 1.149
Crystal system: orthorhombic
Calculated volume in Å³ per cell: 968.6

```
data_PrEr5In2
_symmetry_space_group_name_H-M 'C m c m'
_symmetry_Int_Tables_number 63
_symmetry_space_group_name_Hall '-C 2c 2'
_cell_length_a 5.205
_cell_length_b 11.697
_cell_length_c 15.909
_cell_angle_alpha 90.00
_cell_angle_beta 90.00
_cell_angle_gamma 90.00
loop_
_atom_site_label
_atom_site_type_symbol
_atom_site_fract_x
_atom_site_fract_y
_atom_site_fract_z
_atom_site_occupancy
Pr1 Pr 0.000 0.236 0.250 1
Er1 Er 0.000 0.043 0.750 1
Er2 Er 0.000 0.139 0.034 1
Er3 Er 0.000 0.457 0.102 1
In1 In 0.000 0.273 0.634 1
```


3.
This record from Alexandria via LeMat-Bulk describes an optimized crystal structure of PrEr3In3. The functional is PBE.

Summary:
Calculated formation energy in eV per atom: -0.358
Fermi-level density of states in states/eV per atom: 0.880
Crystal system: hexagonal
Calculated volume in Å³ per cell: 395.9

```
data_PrEr3In3
_symmetry_space_group_name_H-M 'P 63/m'
_symmetry_Int_Tables_number 176
_symmetry_space_group_name_Hall '-P 6c'
_cell_length_a 9.4031
_cell_length_b 9.4031
_cell_length_c 5.1697
_cell_angle_alpha 90.00
_cell_angle_beta 90.00
_cell_angle_gamma 120.00
loop_
_atom_site_label
_atom_site_type_symbol
_atom_site_fract_x
_atom_site_fract_y
_atom_site_fract_z
_atom_site_occupancy
Pr1 Pr 0.3333 0.6667 0.2500 1
Er1 Er 0.9997 0.2298 0.7500 1
In1 In 0.0696 0.6188 0.7500 1
```


4.
This record from Alexandria via LeMat-Bulk describes an optimized crystal structure of Pr3Er6In. The functional is PBE.

Summary:
Calculated formation energy in eV per atom: 0.033
Fermi-level density of states in states/eV per atom: 1.238
Crystal system: monoclinic
Calculated volume in Å³ per cell: 667.3

```
data_Pr3Er6In
_symmetry_space_group_name_H-M 'P 1 21/m 1'
_symmetry_Int_Tables_number 11
_cell_length_a 14.338
_cell_length_b 3.592
_cell_length_c 14.491
_cell_angle_alpha 90.00
_cell_angle_beta 116.61
_cell_angle_gamma 90.00
loop_
_symmetry_equiv_pos_as_xyz
'x,y,z'
'-x,-y,-z'
'-x,y+1/2,-z'
'x,-y+1/2,z'
loop_
_atom_site_label
_atom_site_type_symbol
_atom_site_fract_x
_atom_site_fract_y
_atom_site_fract_z
_atom_site_occupancy
Pr1 Pr 0.039 0.250 0.128 1
Pr2 Pr 0.222 0.250 0.613 1
Pr3 Pr 0.398 0.750 0.526 1
Er1 Er 0.132 0.750 0.359 1
Er2 Er 0.148 0.250 0.824 1
Er3 Er 0.208 0.750 0.058 1
Er4 Er 0.309 0.250 0.290 1
Er5 Er 0.371 0.750 0.862 1
Er6 Er 0.497 0.750 0.245 1
In1 In 0.381 0.250 0.045 1
```


5.
This record from Alexandria via LeMat-Bulk describes an optimized crystal structure of Pr3Er3In5. The functional is PBE.

Summary:
Calculated formation energy in eV per atom: 0.183
Fermi-level density of states in states/eV per atom: 0.923
Crystal system: hexagonal
Calculated volume in Å³ per cell: 409.4

```
data_Pr3Er3In5
_symmetry_space_group_name_H-M 'P -6 2 m'
_symmetry_Int_Tables_number 189
_symmetry_space_group_name_Hall 'P -6 -2'
_cell_length_a 9.0624
_cell_length_b 9.0624
_cell_length_c 5.7554
_cell_angle_alpha 90.00
_cell_angle_beta 90.00
_cell_angle_gamma 120.00
loop_
_atom_site_label
_atom_site_type_symbol
_atom_site_fract_x
_atom_site_fract_y
_atom_site_fract_z
_atom_site_occupancy
Pr1 Pr 0.0000 0.5294 0.0000 1
Er1 Er 0.0000 0.2769 0.5000 1
In1 In 0.0000 0.6448 0.5000 1
In2 In 0.3333 0.6667 0.5000 1
```


6.
This record from Alexandria via LeMat-Bulk describes an optimized crystal structure of Pr4ErIn5. The functional is PBE.

Summary:
Calculated formation energy in eV per atom: -0.486
Fermi-level density of states in states/eV per atom: 0.556
Crystal system: tetragonal
Calculated volume in Å³ per cell: 290.0

```
data_Pr4ErIn5
_symmetry_space_group_name_H-M 'P 4/m m m'
_symmetry_Int_Tables_number 123
_symmetry_space_group_name_Hall '-P 4 2'
_cell_length_a 3.847
_cell_length_b 3.847
_cell_length_c 19.591
_cell_angle_alpha 90.00
_cell_angle_beta 90.00
_cell_angle_gamma 90.00
loop_
_atom_site_label
_atom_site_type_symbol
_atom_site_fract_x
_atom_site_fract_y
_atom_site_fract_z
_atom_site_occupancy
Pr1 Pr 0.000 0.000 0.102 1
Pr2 Pr 0.000 0.000 0.307 1
Er1 Er 0.000 0.000 0.500 1
In1 In 0.500 0.500 0.000 1
In2 In 0.500 0.500 0.205 1
In3 In 0.500 0.500 0.411 1
```


7.
This record from Alexandria via LeMat-Bulk describes an optimized crystal structure of Pr6Er2In. The functional is PBE.

Summary:
Calculated formation energy in eV per atom: 0.018
Fermi-level density of states in states/eV per atom: 1.134
Crystal system: monoclinic
Calculated volume in Å³ per cell: 1210.6

```
data_Pr6Er2In
_symmetry_space_group_name_H-M 'C 1 2/c 1'
_symmetry_Int_Tables_number 15
_cell_length_a 14.577
_cell_length_b 9.190
_cell_length_c 9.059
_cell_angle_alpha 90.00
_cell_angle_beta 94.05
_cell_angle_gamma 90.00
loop_
_symmetry_equiv_pos_as_xyz
'x,y,z'
'-x,-y,-z'
'-x,y,-z+1/2'
'x,-y,z+1/2'
'x+1/2,y+1/2,z'
'-x+1/2,-y+1/2,-z'
'-x+1/2,y+1/2,-z+1/2'
'x+1/2,-y+1/2,z+1/2'
loop_
_atom_site_label
_atom_site_type_symbol
_atom_site_fract_x
_atom_site_fract_y
_atom_site_fract_z
_atom_site_occupancy
Pr1 Pr 0.090 0.185 0.121 1
Pr2 Pr 0.103 0.433 0.856 1
Pr3 Pr 0.142 0.253 0.512 1
Er1 Er 0.218 0.078 0.838 1
In1 In 0.000 0.115 0.750 1
```


8.
This record from Alexandria via LeMat-Bulk describes an optimized crystal structure of PrEr5In4. The functional is PBE.

Summary:
Calculated formation energy in eV per atom: -0.363
Fermi-level density of states in states/eV per atom: 0.577
Crystal system: tetragonal
Calculated volume in Å³ per cell: 273.7

```
data_PrEr5In4
_symmetry_space_group_name_H-M 'P 4/m m m'
_symmetry_Int_Tables_number 123
_symmetry_space_group_name_Hall '-P 4 2'
_cell_length_a 3.535
_cell_length_b 3.535
_cell_length_c 21.904
_cell_angle_alpha 90.00
_cell_angle_beta 90.00
_cell_angle_gamma 90.00
loop_
_atom_site_label
_atom_site_type_symbol
_atom_site_fract_x
_atom_site_fract_y
_atom_site_fract_z
_atom_site_occupancy
Pr1 Pr 0.000 0.000 0.000 1
Er1 Er 0.500 0.500 0.120 1
Er2 Er 0.500 0.500 0.309 1
Er3 Er 0.500 0.500 0.500 1
In1 In 0.000 0.000 0.214 1
In2 In 0.000 0.000 0.405 1
```


9.
This record from Alexandria via LeMat-Bulk describes an optimized crystal structure of Pr4Er4In. The functional is PBE.

Summary:
Calculated formation energy in eV per atom: -0.068
Fermi-level density of states in states/eV per atom: 1.356
Crystal system: tetragonal
Calculated volume in Å³ per cell: 575.4

```
data_Pr4Er4In
_symmetry_space_group_name_H-M 'I 4/m m m'
_symmetry_Int_Tables_number 139
_symmetry_space_group_name_Hall '-I 4 2'
_cell_length_a 10.795
_cell_length_b 10.795
_cell_length_c 4.938
_cell_angle_alpha 90.00
_cell_angle_beta 90.00
_cell_angle_gamma 90.00
loop_
_atom_site_label
_atom_site_type_symbol
_atom_site_fract_x
_atom_site_fract_y
_atom_site_fract_z
_atom_site_occupancy
Pr1 Pr 0.162 0.162 0.000 1
Er1 Er 0.000 0.337 0.500 1
In1 In 0.000 0.000 0.500 1
```